# 1
First-principles (PBE-GGA) data for a geometry-optimized MgZr2Ag structure, as listed in Alexandria.

Results
- total energy (eV per cell) = -21.4
- energy of formation from the pure elements (eV/atom) = 0.03
- crystal system = monoclinic

a = 4.5161 Å, b = 3.1150 Å, c = 6.2221 Å
α = 75.96°, β = 90.00°, γ = 90.00°
Last column: nearest neighbours and their distance in Å.
Element x y z (fractional)
Ag (0.0000, 0.6957, 0.4972)  2 Mg 2.72
Mg (0.5000, 0.5563, 0.7492)  2 Ag 2.72
Zr (0.0000, 0.9416, 0.9888)  3 Ag 3.07-3.37, 4 Mg 3.10, 6 Zr 3.11-3.21
Zr (0.5000, 0.3064, 0.2648)  4 Ag 3.08, 3 Mg 3.11-3.34, 6 Zr 3.11-3.21


# 2
First-principles (PBE-GGA) data for a geometry-optimized MgZrAg structure, as listed in Alexandria.

Results
- total energy (eV per cell) = -11.1
- energy of formation from the pure elements (eV/atom) = 0.65
- crystal system = cubic

a = 4.7126 Å, b = 4.7126 Å, c = 4.7126 Å
α = 60.00°, β = 60.00°, γ = 60.00°
Last column: nearest neighbours and their distance in Å.
Element x y z (fractional)
Ag (0.0000, 0.0000, 0.0000)  4 Zr 2.89
Mg (0.5000, 0.5000, 0.5000)  4 Zr 2.89
Zr (0.7500, 0.7500, 0.7500)  4 Mg 2.89, 4 Ag 2.89


# 3
First-principles (PBE-GGA) data for a geometry-optimized MgZr2Ag structure, as listed in Alexandria.

Results
- total energy (eV per cell) = -21.5
- energy of formation from the pure elements (eV/atom) = 0.01
- crystal system = tetragonal

a = 5.5108 Å, b = 5.5108 Å, c = 5.5108 Å
α = 134.79°, β = 134.79°, γ = 65.86°
Last column: nearest neighbours and their distance in Å.
Element x y z (fractional)
Ag (0.2500, 0.7500, 0.5000)  4 Mg 3.00, 8 Zr 3.14
Mg (0.7500, 0.2500, 0.5000)  4 Ag 3.00, 8 Zr 3.14
Zr (0.0000, 0.0000, 0.0000)  4 Zr 3.00, 4 Mg 3.14, 4 Ag 3.14
Zr (0.5000, 0.5000, 0.0000)  4 Zr 3.00, 4 Ag 3.14, 4 Mg 3.14


# 4
First-principles (PBE-GGA) data for a geometry-optimized Mg2ZrAg structure, as listed in Alexandria.

Results
- total energy (eV per cell) = -14.6
- energy of formation from the pure elements (eV/atom) = 0.01
- crystal system = monoclinic

a = 4.6457 Å, b = 2.9634 Å, c = 6.1519 Å
α = 76.80°, β = 90.00°, γ = 90.00°
Last column: nearest neighbours and their distance in Å.
Element x y z (fractional)
Ag (0.5000, 0.7500, 0.7500)  4 Mg 2.84, 2 Ag 2.96, 2 Zr 3.09
Mg (0.0000, 0.9186, 0.9850)  2 Ag 2.84, 3 Mg 2.96-3.10, 2 Zr 3.12
Mg (0.0000, 0.5814, 0.5150)  2 Ag 2.84, 3 Mg 2.96-3.10, 2 Zr 3.12
Zr (0.5000, 0.2500, 0.2500)  2 Zr 2.96, 2 Ag 3.09, 8 Mg 3.12-3.24


# 5
First-principles (PBE-GGA) data for a geometry-optimized Mg4ZrAg5 structure, as listed in Alexandria.

Results
- total energy (eV per cell) = -31.1
- energy of formation from the pure elements (eV/atom) = -0.19
- crystal system = tetragonal

a = 3.3394 Å, b = 3.3394 Å, c = 16.9265 Å
α = 90.00°, β = 90.00°, γ = 90.00°
Last column: nearest neighbours and their distance in Å.
Element x y z (fractional)
Mg (0.0000, 0.0000, 0.2070)  8 Ag 2.87-2.90
Mg (0.0000, 0.0000, 0.4029)  8 Ag 2.87-2.88
Mg (0.0000, 0.0000, 0.5971)  8 Ag 2.87-2.88
Mg (0.0000, 0.0000, 0.7930)  8 Ag 2.87-2.90
Zr (0.0000, 0.0000, 0.0000)  8 Ag 3.02, 4 Zr 3.34
Ag (0.5000, 0.5000, 0.1110)  4 Mg 2.87, 4 Zr 3.02
Ag (0.5000, 0.5000, 0.3067)  8 Mg 2.87-2.90
Ag (0.5000, 0.5000, 0.5000)  8 Mg 2.88
Ag (0.5000, 0.5000, 0.6933)  8 Mg 2.87-2.90
Ag (0.5000, 0.5000, 0.8890)  4 Mg 2.87, 4 Zr 3.02


# 6
First-principles (PBE-GGA) data for a geometry-optimized MgZrAg structure, as listed in Alexandria.

Results
- total energy (eV per cell) = -12.8
- energy of formation from the pure elements (eV/atom) = 0.06
- crystal system = orthorhombic

a = 5.2831 Å, b = 5.2831 Å, c = 5.2831 Å
α = 147.58°, β = 129.10°, γ = 61.65°
Last column: nearest neighbours and their distance in Å.
Element x y z (fractional)
Ag (0.0036, 0.0036, 0.0000)  2 Ag 2.95, 5 Zr 3.00-3.11, 5 Mg 3.07-3.09
Mg (0.6626, 0.6626, 0.0000)  2 Mg 2.95, 5 Zr 2.98-3.12, 5 Ag 3.07-3.09
Zr (0.3338, 0.3338, 0.0000)  2 Zr 2.95, 5 Mg 2.98-3.12, 5 Ag 3.00-3.11


# 7
First-principles (PBE-GGA) data for a geometry-optimized MgZrAg structure, as listed in Alexandria.

Results
- total energy (eV per cell) = -12.9
- energy of formation from the pure elements (eV/atom) = 0.02
- crystal system = trigonal

a = 3.0408 Å, b = 3.0408 Å, c = 7.7010 Å
α = 90.00°, β = 90.00°, γ = 120.00°
Last column: nearest neighbours and their distance in Å.
Element x y z (fractional)
Ag (0.0000, 0.0000, 0.0078)  3 Mg 2.97, 6 Ag 3.04, 3 Zr 3.11
Mg (0.6667, 0.3333, 0.3184)  3 Ag 2.97, 6 Mg 3.04, 3 Zr 3.25
Zr (0.3333, 0.6667, 0.6738)  6 Zr 3.04, 3 Ag 3.11, 3 Mg 3.25


# 8
First-principles (PBE-GGA) data for a geometry-optimized MgZrAg structure, as listed in Alexandria.

Results
- total energy (eV per cell) = -25.6
- energy of formation from the pure elements (eV/atom) = 0.07
- crystal system = trigonal

a = 4.7723 Å, b = 4.7723 Å, c = 6.3327 Å
α = 90.00°, β = 90.00°, γ = 120.00°
Last column: nearest neighbours and their distance in Å.
Element x y z (fractional)
Ag (0.0000, 0.0000, 0.7521)  3 Mg 2.88, 3 Zr 2.91, 2 Ag 3.14-3.19
Ag (0.0000, 0.0000, 0.2479)  3 Mg 2.88, 3 Zr 2.91, 2 Ag 3.14-3.19
Mg (0.3333, 0.6667, 0.8835)  3 Ag 2.88, 1 Zr 3.08, 3 Mg 3.13
Mg (0.6667, 0.3333, 0.1165)  3 Ag 2.88, 1 Zr 3.08, 3 Mg 3.13
Zr (0.6667, 0.3333, 0.6032)  3 Ag 2.91, 3 Zr 3.05, 2 Mg 3.08-3.25
Zr (0.3333, 0.6667, 0.3968)  3 Ag 2.91, 3 Zr 3.05, 2 Mg 3.08-3.25


# 9
First-principles (PBE-GGA) data for a geometry-optimized Mg2ZrAg structure, as listed in Alexandria.

Results
- total energy (eV per cell) = -14.9
- energy of formation from the pure elements (eV/atom) = -0.09
- crystal system = orthorhombic

a = 3.0864 Å, b = 3.1055 Å, c = 8.5459 Å
α = 90.00°, β = 90.00°, γ = 90.00°
Last column: nearest neighbours and their distance in Å.
Element x y z (fractional)
Mg (0.0000, 0.0000, 0.9758)  4 Ag 2.92, 4 Mg 3.09-3.11, 4 Zr 3.21
Mg (0.0000, 0.0000, 0.5242)  4 Ag 2.92, 4 Mg 3.09-3.11, 4 Zr 3.21
Zr (0.5000, 0.5000, 0.2500)  4 Zr 3.09-3.11, 8 Mg 3.21
Ag (0.5000, 0.5000, 0.7500)  8 Mg 2.92, 4 Ag 3.09-3.11


# 10
First-principles (PBE-GGA) data for a geometry-optimized Mg2ZrAg structure, as listed in Alexandria.

Results
- total energy (eV per cell) = -14.7
- energy of formation from the pure elements (eV/atom) = -0.03
- crystal system = trigonal

a = 10.2802 Å, b = 10.2802 Å, c = 10.2802 Å
α = 17.23°, β = 17.23°, γ = 17.23°
Last column: nearest neighbours and their distance in Å.
Element x y z (fractional)
Ag (0.7500, 0.7500, 0.7500)  6 Mg 2.95, 6 Ag 3.08
Mg (0.0059, 0.0059, 0.0059)  3 Ag 2.95, 6 Mg 3.08, 3 Zr 3.24
Mg (0.4941, 0.4941, 0.4941)  3 Ag 2.95, 6 Mg 3.08, 3 Zr 3.24
Zr (0.2500, 0.2500, 0.2500)  6 Zr 3.08, 6 Mg 3.24


# 11
First-principles (PBE-GGA) data for a geometry-optimized Mg2ZrAg structure, as listed in Alexandria.

Results
- total energy (eV per cell) = -14.6
- energy of formation from the pure elements (eV/atom) = -0.01
- crystal system = orthorhombic

a = 2.9683 Å, b = 4.3710 Å, c = 6.3536 Å
α = 90.00°, β = 90.00°, γ = 90.00°
Last column: nearest neighbours and their distance in Å.
Element x y z (fractional)
Ag (0.5000, 0.5000, 0.7551)  2 Ag 2.97, 6 Mg 3.04-3.26, 4 Zr 3.07
Mg (0.0000, 0.0000, 0.9930)  6 Mg 2.97-3.08, 4 Ag 3.04, 2 Zr 3.07-3.28
Mg (0.5000, 0.5000, 0.2420)  6 Mg 2.97-3.08, 2 Ag 3.09-3.26, 4 Zr 3.14
Zr (0.0000, 0.0000, 0.5099)  2 Zr 2.97, 4 Ag 3.07, 6 Mg 3.07-3.28


# 12
First-principles (PBE-GGA) data for a geometry-optimized MgZr2Ag structure, as listed in Alexandria.

Results
- total energy (eV per cell) = -21.2
- energy of formation from the pure elements (eV/atom) = 0.10
- crystal system = cubic

a = 4.9202 Å, b = 4.9202 Å, c = 4.9202 Å
α = 60.00°, β = 60.00°, γ = 60.00°
Last column: nearest neighbours and their distance in Å.
Element x y z (fractional)
Mg (0.0000, 0.0000, 0.0000)  8 Zr 3.01
Zr (0.2500, 0.2500, 0.2500)  4 Ag 3.01, 4 Mg 3.01
Zr (0.7500, 0.7500, 0.7500)  4 Ag 3.01, 4 Mg 3.01
Ag (0.5000, 0.5000, 0.5000)  8 Zr 3.01